Density functional theory data (PBE-GGA) for crystalline K2CoPt at its relaxed geometry.

The structure belongs to space group F-43m (No. 216); the cell edges are 7.2299, 7.2299 and 7.2299 Å and the angles 90.00°, 90.00° and 90.00°. Symmetry generates all atoms from K at (0.0000, 0.0000, 0.0000), K at (0.2500, 0.2500, 0.2500), Co at (0.0000, 0.0000, 0.5000) and Pt at (0.2500, 0.2500, 0.7500).

The distance to the lowest polymorph of the same formula is 2.13 eV/f.u. The calculation puts the total moment at 2.38 μB per formula unit. The density of states at the Fermi level is 1.589 states/eV per atom. As for the formation energy: 0.715 eV per atom.